# 1
Density functional theory data (PBE) for an optimized crystal structure of SmScPa2As4.

The structure in CIF format:
```
data_SmScPa2As4
_symmetry_space_group_name_H-M 'P 1 2/m 1'
_symmetry_Int_Tables_number 10
_cell_length_a 7.038
_cell_length_b 4.084
_cell_length_c 7.070
_cell_angle_alpha 90.00
_cell_angle_beta 109.56
_cell_angle_gamma 90.00
loop_
_symmetry_equiv_pos_as_xyz
'x,y,z'
'-x,-y,-z'
'-x,y,-z'
'x,-y,z'
loop_
_atom_site_label
_atom_site_fract_x
_atom_site_fract_y
_atom_site_fract_z
_atom_site_occupancy
Sm1 0.000 0.000 0.000 1
Sc1 0.000 0.500 0.500 1
Pa1 0.500 0.000 0.500 1
Pa2 0.500 0.500 0.000 1
As1 0.245 0.000 0.740 1
As2 0.251 0.500 0.259 1
```

Properties
DFT total energy	-7.301	eV/atom
spin magnetization	0.0	μB/f.u.
volume	23.94	Å³ per atom

# 2
Density functional theory data (PBE) for an optimized crystal structure of Li6In3Hg.

The structure in CIF format:
```
data_Li6In3Hg
_symmetry_space_group_name_H-M 'P 1 21/c 1'
_symmetry_Int_Tables_number 14
_cell_length_a 6.781
_cell_length_b 7.540
_cell_length_c 10.120
_cell_angle_alpha 90.00
_cell_angle_beta 131.69
_cell_angle_gamma 90.00
loop_
_symmetry_equiv_pos_as_xyz
'x,y,z'
'-x,-y,-z'
'-x,y+1/2,-z+1/2'
'x,-y+1/2,z+1/2'
loop_
_atom_site_label
_atom_site_fract_x
_atom_site_fract_y
_atom_site_fract_z
_atom_site_occupancy
Li1 0.079 0.152 0.328 1
Li2 0.155 0.144 0.639 1
Li3 0.365 0.637 0.855 1
In1 0.385 0.659 0.136 1
In2 0.500 0.000 0.000 1
Hg1 0.000 0.000 0.000 1
```

Properties
distance to the lowest polymorph of the same formula	89	meV per atom
spin magnetization	0.0	μB/f.u.
volume	19.32	Å³ per atom

# 3
Density functional theory data (PBE) for an optimized crystal structure of Rb2CeUTe4.

The structure in CIF format:
```
data_Rb2CeUTe4
_symmetry_space_group_name_H-M 'P 1 2/m 1'
_symmetry_Int_Tables_number 10
_cell_length_a 7.997
_cell_length_b 4.612
_cell_length_c 8.988
_cell_angle_alpha 90.00
_cell_angle_beta 107.22
_cell_angle_gamma 90.00
loop_
_symmetry_equiv_pos_as_xyz
'x,y,z'
'-x,-y,-z'
'-x,y,-z'
'x,-y,z'
loop_
_atom_site_label
_atom_site_fract_x
_atom_site_fract_y
_atom_site_fract_z
_atom_site_occupancy
Rb1 0.000 0.000 0.000 1
Rb2 0.500 0.500 0.000 1
Ce1 0.000 0.500 0.500 1
U1 0.500 0.000 0.500 1
Te1 0.240 0.000 0.704 1
Te2 0.271 0.500 0.298 1
```

Properties
formation energy from raw total energies	-1081	meV per atom
spin magnetization	4.0	μB/f.u.
volume	39.58	Å³ per atom

# 4
Density functional theory data (PBE) for an optimized crystal structure of Na2SbPdRu.

The structure in CIF format:
```
data_Na2SbPdRu
_symmetry_space_group_name_H-M 'P 4/m m m'
_symmetry_Int_Tables_number 123
_symmetry_space_group_name_Hall '-P 4 2'
_cell_length_a 5.240
_cell_length_b 5.240
_cell_length_c 4.776
_cell_angle_alpha 90.00
_cell_angle_beta 90.00
_cell_angle_gamma 90.00
loop_
_atom_site_label
_atom_site_fract_x
_atom_site_fract_y
_atom_site_fract_z
_atom_site_occupancy
Na1 0.000 0.500 0.000 1
Sb1 0.000 0.000 0.500 1
Pd1 0.500 0.500 0.500 1
Ru1 0.500 0.500 0.000 1
```

Properties
formation energy from raw total energies	984	meV per atom
spin magnetization	1.6	μB/f.u.
volume	26.23	Å³ per atom

# 5
Density functional theory data (PBE) for an optimized crystal structure of Pm2PaRuN4.

The structure in CIF format:
```
data_Pm2PaRuN4
_symmetry_space_group_name_H-M 'C m c m'
_symmetry_Int_Tables_number 63
_symmetry_space_group_name_Hall '-C 2c 2'
_cell_length_a 3.401
_cell_length_b 11.700
_cell_length_c 11.963
_cell_angle_alpha 90.00
_cell_angle_beta 90.00
_cell_angle_gamma 90.00
loop_
_atom_site_label
_atom_site_fract_x
_atom_site_fract_y
_atom_site_fract_z
_atom_site_occupancy
Pm1 0.000 0.130 0.053 1
Pa1 0.000 0.386 0.250 1
Ru1 0.000 0.353 0.750 1
N1 0.000 0.037 0.250 1
N2 0.000 0.212 0.641 1
N3 0.000 0.500 0.000 1
```

Properties
formation energy from raw total energies	-1001	meV per atom
spin magnetization	0.0	μB/f.u.
volume	14.88	Å³ per atom

# 6
Density functional theory data (PBE) for an optimized crystal structure of AgH2PbF8.

The structure in CIF format:
```
data_AgH2PbF8
_symmetry_space_group_name_H-M 'P -1'
_symmetry_Int_Tables_number 2
_cell_length_a 3.531
_cell_length_b 5.034
_cell_length_c 9.239
_cell_angle_alpha 85.79
_cell_angle_beta 89.10
_cell_angle_gamma 71.92
loop_
_symmetry_equiv_pos_as_xyz
'x,y,z'
'-x,-y,-z'
loop_
_atom_site_label
_atom_site_fract_x
_atom_site_fract_y
_atom_site_fract_z
_atom_site_occupancy
Ag1 0.000 0.000 0.000 1
H1 0.057 0.495 0.264 1
Pb1 0.000 0.000 0.500 1
F1 0.056 0.783 0.703 1
F2 0.130 0.667 0.257 1
F3 0.385 0.248 0.023 1
F4 0.386 0.262 0.532 1
```

Properties
DFT total energy	-3.875	eV/atom
spin magnetization	0.0	μB/f.u.
volume	12.97	Å³ per atom

Please write out number 6 again, unchanged.
Density functional theory data (PBE) for an optimized crystal structure of AgH2PbF8.

The structure in CIF format:
```
data_AgH2PbF8
_symmetry_space_group_name_H-M 'P -1'
_symmetry_Int_Tables_number 2
_cell_length_a 3.531
_cell_length_b 5.034
_cell_length_c 9.239
_cell_angle_alpha 85.79
_cell_angle_beta 89.10
_cell_angle_gamma 71.92
loop_
_symmetry_equiv_pos_as_xyz
'x,y,z'
'-x,-y,-z'
loop_
_atom_site_label
_atom_site_fract_x
_atom_site_fract_y
_atom_site_fract_z
_atom_site_occupancy
Ag1 0.000 0.000 0.000 1
H1 0.057 0.495 0.264 1
Pb1 0.000 0.000 0.500 1
F1 0.056 0.783 0.703 1
F2 0.130 0.667 0.257 1
F3 0.385 0.248 0.023 1
F4 0.386 0.262 0.532 1
```

Properties
DFT total energy	-3.875	eV/atom
spin magnetization	0.0	μB/f.u.
volume	12.97	Å³ per atom